## Zr3AlRe (GGA-PBE)

Data for a relaxed structure of Zr3AlRe.

Cell lengths 4.8680, 4.8680, 4.8680 Å; angles 90.00, 90.00, 90.00 degrees
Closest atoms and distances in Å follow each position.
Atoms (fractional coordinates):
Re 0.5000 0.5000 0.5000  12 Zr 3.44
Al 0.0000 0.0000 0.0000  6 Zr 2.43
Zr 0.0000 0.5000 0.0000  2 Al 2.43
Zr 0.0000 0.0000 0.5000  2 Al 2.43
Zr 0.5000 0.0000 0.0000  2 Al 2.43

Results
Formation energy from the elements   1192.5 meV/atom
DOS at the Fermi energy   1.0944 states/eV per atom
Total magnetization   0.00 μB/cell


## LiEr2PbSe (GGA-PBE)

Data for a relaxed structure of LiEr2PbSe.

Cell lengths 4.1603, 7.5591, 8.0484 Å; angles 108.27, 90.00, 90.00 degrees
Closest atoms and distances in Å follow each position.
Atoms (fractional coordinates):
Li 0.2500 0.5425 0.6373  1 Se 2.40
Li 0.7500 0.4575 0.3627  1 Se 2.40
Er 0.7500 0.8843 0.6078  2 Se 2.83
Er 0.7500 0.7370 0.0272  3 Se 2.89-2.94, 2 Pb 3.17
Er 0.2500 0.1157 0.3922  2 Se 2.83
Er 0.2500 0.2630 0.9728  3 Se 2.89-2.94, 2 Pb 3.17
Pb 0.2500 0.6737 0.3007  2 Li 2.79
Pb 0.7500 0.3263 0.6993  2 Li 2.79
Se 0.2500 0.8543 0.8357  1 Li 2.40
Se 0.7500 0.1457 0.1643  1 Li 2.40

Results
Energy relative to the elements, uncorrected   -0.89 eV/atom
DOS at the Fermi energy   0.5717 states/eV per atom
Total magnetization   0.00 μB/cell


## Cs5KAu2 (GGA-PBE)

Data for a relaxed structure of Cs5KAu2.

Cell lengths 7.3539, 9.1363, 18.6794 Å; angles 90.00, 90.00, 113.73 degrees
Closest atoms and distances in Å follow each position.
Atoms (fractional coordinates):
Cs 0.9408 0.8815 0.8864  2 Au 3.60-3.63
Cs 0.9408 0.8815 0.6136  2 Au 3.60-3.63
Cs 0.3378 0.6755 0.4683  3 Au 3.63-3.73
Cs 0.3378 0.6755 0.0317  3 Au 3.63-3.73
Cs 0.7708 0.5416 0.2500  2 Au 3.74
Cs 0.2292 0.4584 0.7500  2 Au 3.74
Cs 0.6622 0.3245 0.5317  3 Au 3.63-3.73
Cs 0.6622 0.3245 0.9683  3 Au 3.63-3.73
Cs 0.0592 0.1185 0.1136  2 Au 3.60-3.63
Cs 0.0592 0.1185 0.3864  2 Au 3.60-3.63
K 0.5371 0.0742 0.7500  8 Cs 4.58-4.88
K 0.4629 0.9258 0.2500  8 Cs 4.58-4.88
Au 0.8513 0.7026 0.4365  6 Cs 3.60-3.74
Au 0.8513 0.7026 0.0635  6 Cs 3.60-3.74
Au 0.1487 0.2974 0.5635  6 Cs 3.60-3.74
Au 0.1487 0.2974 0.9365  6 Cs 3.60-3.74

Results
Formation energy from the elements   -153.9 meV/atom
DOS at the Fermi energy   0.9605 states/eV per atom
Total magnetization   0.00 μB/cell


## SiSeI2 (GGA-PBE)

Data for a relaxed structure of SiSeI2.

Cell lengths 7.9938, 7.9938, 6.8719 Å; angles 54.43, 54.43, 90.00 degrees
Closest atoms and distances in Å follow each position.
Atoms (fractional coordinates):
I 0.5920 0.1250 0.2500  2 Si 2.82
I 0.1580 0.6250 0.2500  2 Si 2.82
I 0.3750 0.4080 0.7500  2 Si 2.82
I 0.8750 0.8420 0.7500  2 Si 2.82
Si 0.5000 0.5000 0.0000  4 I 2.82
Si 0.2500 0.7500 0.5000  4 I 2.82
Se 0.0000 0.0000 0.0000  4 I 3.17
Se 0.7500 0.2500 0.5000  4 I 3.17

Results
Energy relative to the elements, uncorrected   0.56 eV/atom
DOS at the Fermi energy   0.5212 states/eV per atom
Total magnetization   0.00 μB/cell


## Cs2ZnAgBr6 (GGA-PBE)

Data for a relaxed structure of Cs2ZnAgBr6.

Cell lengths 7.7413, 7.7413, 7.8110 Å; angles 60.29, 60.29, 90.00 degrees
Closest atoms and distances in Å follow each position.
Atoms (fractional coordinates):
Cs 0.7500 0.2500 0.5000  12 Br 3.88-3.91
Cs 0.2500 0.7500 0.5000  12 Br 3.88-3.91
Zn 0.5000 0.5000 0.0000  4 Br 2.54
Br 0.2311 0.2311 0.5377  1 Ag 2.58
Br 0.7689 0.7689 0.4623  1 Ag 2.58
Br 0.2677 0.2677 0.0000  1 Zn 2.54
Br 0.7323 0.7323 0.0000  1 Zn 2.54
Br 0.7323 0.2677 0.0000  1 Zn 2.54
Br 0.2677 0.7323 0.0000  1 Zn 2.54
Ag 0.0000 0.0000 0.0000  2 Br 2.58

Results
Energy relative to the elements, uncorrected   -1.02 eV/atom
DOS at the Fermi energy   0.6181 states/eV per atom
Total magnetization   0.00 μB/cell


## Cs2PrTiO4 (GGA-PBE)

Data for a relaxed structure of Cs2PrTiO4.

Cell lengths 6.1815, 7.4698, 12.7352 Å; angles 84.24, 75.95, 65.56 degrees
Closest atoms and distances in Å follow each position.
Atoms (fractional coordinates):
Cs 0.1824 0.0000 0.6352  4 O 3.49-3.72
Cs 0.8176 0.0000 0.3648  4 O 3.49-3.72
Cs 0.5676 0.5000 0.8648  4 O 3.49-3.72
Cs 0.9324 0.5000 0.1352  4 O 3.49-3.72
Pr 0.7500 0.5000 0.5000  4 O 2.31
Pr 0.0000 0.0000 0.0000  4 O 2.31
Ti 0.2500 0.5000 0.5000  4 O 1.85
Ti 0.5000 0.0000 0.0000  4 O 1.85
O 0.3417 0.8455 0.0724  1 Ti 1.85
O 0.2596 0.1545 0.9276  1 Ti 1.85
O 0.8128 0.8455 0.9276  1 Ti 1.85
O 0.5859 0.1545 0.0724  1 Ti 1.85
O 0.4083 0.6545 0.4276  1 Ti 1.85
O 0.4904 0.3455 0.5724  1 Ti 1.85
O 0.9372 0.6545 0.5724  1 Ti 1.85
O 0.1641 0.3455 0.4276  1 Ti 1.85

Results
Energy relative to the elements, uncorrected   -2.20 eV/atom
DOS at the Fermi energy   0.3407 states/eV per atom
Total magnetization   0.00 μB/cell